(1)
## LiHo3 (GGA-PBE)

Data for a geometry-optimized LiHo3 structure.

Unit cell a=5.440 b=5.440 c=5.440 alpha=60.00 beta=60.00 gamma=60.00
Fractional positions:
Li 0.000 0.000 0.000
Ho 0.250 0.250 0.250
Ho 0.500 0.500 0.500
Ho 0.750 0.750 0.750

Computed properties:
- DOS at the Fermi energy (states/eV per cell) = 2.78
- DFT formation energy (eV per atom) = 0.178
- ΔE to the lowest computed polymorph (meV/atom) = 100


(2)
## Li3Ho (GGA-PBE)

Data for a geometry-optimized Li3Ho structure.

Unit cell a=3.183 b=5.251 c=5.598 alpha=90.00 beta=90.00 gamma=90.00
Fractional positions:
Li 0.000 0.000 0.000
Li 0.000 0.500 0.296
Li 0.500 0.000 0.457
Ho 0.500 0.500 0.798

Computed properties:
- DOS at the Fermi energy (states/eV per cell) = 3.02
- DFT formation energy (eV per atom) = 0.170
- ΔE to the lowest computed polymorph (meV/atom) = 121


Copy entry 1 word for word.
## LiHo3 (GGA-PBE)

Data for a geometry-optimized LiHo3 structure.

Unit cell a=5.440 b=5.440 c=5.440 alpha=60.00 beta=60.00 gamma=60.00
Fractional positions:
Li 0.000 0.000 0.000
Ho 0.250 0.250 0.250
Ho 0.500 0.500 0.500
Ho 0.750 0.750 0.750

Computed properties:
- DOS at the Fermi energy (states/eV per cell) = 2.78
- DFT formation energy (eV per atom) = 0.178
- ΔE to the lowest computed polymorph (meV/atom) = 100


- ΔE to the lowest computed polymorph of number 2 (Li3Ho)?
  121 meV/atom